{"formula": "Rb2NaHgF6", "functional": "GGA-PBE", "state": "optimized geometry", "cell": [[1.6189, -5.0880, 3.0377], [-5.8206, -1.2022, 1.5528], [1.6207, 0.8627, -5.8622]], "species": ["F", "F", "F", "F", "F", "F", "Hg", "Na", "Rb", "Rb"], "frac_coords": [[0.2514, 0.2514, 0.0000], [0.7486, 0.7486, 0.0000], [0.2946, 0.7965, 0.0911], [0.2035, 0.2946, 0.4982], [0.7965, 0.7054, 0.5018], [0.7054, 0.2035, 0.9089], [0.0000, 0.0000, 0.0000], [0.5000, 0.5000, 0.0000], [0.7500, 0.2500, 0.5000], [0.2500, 0.7500, 0.5000]], "crystal_system": "tetragonal", "e_tot_ev_per_atom": -3.593}

{"formula": "Rb2NaHgF6", "functional": "GGA-PBE", "state": "optimized geometry", "cell": [[-2.8114, -5.1279, -1.3862], [1.2158, -5.0313, 3.0543], [-4.0832, -2.3152, 3.7535]], "species": ["F", "F", "F", "F", "F", "F", "Hg", "Na", "Rb", "Rb"], "frac_coords": [[0.7479, 0.2537, 0.2517], [0.7463, 0.7483, 0.2521], [0.2517, 0.7479, 0.2537], [0.7483, 0.2521, 0.7463], [0.2537, 0.2517, 0.7479], [0.2521, 0.7463, 0.7483], [0.0000, 0.0000, 0.0000], [0.5000, 0.5000, 0.5000], [0.2499, 0.2499, 0.2499], [0.7501, 0.7501, 0.7501]], "crystal_system": "trigonal", "e_tot_ev_per_atom": -3.553}

{"formula": "Rb2NaHgF6", "functional": "GGA-PBE", "state": "optimized geometry", "cell": [[5.2054, -3.0100, 0.0000], [5.2054, 3.0100, 0.0000], [-3.4678, 0.0000, 4.9133]], "species": ["F", "F", "F", "F", "F", "F", "Hg", "Na", "Rb", "Rb"], "frac_coords": [[0.7471, 0.2517, 0.2521], [0.2517, 0.7471, 0.2521], [0.2525, 0.2525, 0.2531], [0.7475, 0.7475, 0.7469], [0.7483, 0.2529, 0.7479], [0.2529, 0.7483, 0.7479], [0.0000, 0.0000, 0.0000], [0.5000, 0.5000, 0.5000], [0.7499, 0.7499, 0.2499], [0.2501, 0.2501, 0.7501]], "crystal_system": "trigonal", "e_tot_ev_per_atom": -3.559}

{"formula": "Rb2NaHgF6", "functional": "GGA-PBE", "state": "optimized geometry", "cell": [[6.1065, 0.0000, 0.0000], [0.0000, 6.0841, 0.0000], [-6.1049, 0.0000, 8.6775]], "species": ["F", "F", "F", "F", "F", "F", "F", "F", "F", "F", "F", "F", "Hg", "Hg", "Na", "Na", "Rb", "Rb", "Rb", "Rb"], "frac_coords": [[0.7967, 0.7774, 0.0188], [0.7409, 0.2782, 0.0194], [0.2865, 0.4958, 0.2497], [0.7135, 0.9958, 0.2503], [0.2591, 0.7782, 0.4806], [0.2033, 0.2774, 0.4812], [0.7967, 0.7226, 0.5188], [0.7409, 0.2218, 0.5194], [0.2865, 0.0042, 0.7497], [0.7135, 0.5042, 0.7503], [0.2591, 0.7218, 0.9806], [0.2033, 0.2226, 0.9812], [0.5000, 0.0000, 0.0000], [0.5000, 0.5000, 0.5000], [0.0000, 0.5000, 0.0000], [0.0000, 0.0000, 0.5000], [0.2479, 0.0154, 0.2497], [0.7521, 0.5154, 0.2503], [0.2479, 0.4846, 0.7497], [0.7521, 0.9846, 0.7503]], "crystal_system": "monoclinic", "e_tot_ev_per_atom": -3.594}

{"formula": "Rb2NaHgF6", "functional": "GGA-PBE", "state": "optimized geometry", "cell": [[-7.4598, 2.6353, 7.5742], [-2.1006, 3.8505, 10.0361], [-4.6098, 7.7597, 6.2046]], "species": ["F", "F", "F", "F", "F", "F", "F", "F", "F", "F", "F", "F", "Hg", "Hg", "Na", "Na", "Rb", "Rb", "Rb", "Rb"], "frac_coords": [[0.6282, 0.6282, 0.1167], [0.7110, 0.2059, 0.2059], [0.2059, 0.7110, 0.2059], [0.7941, 0.7941, 0.2890], [0.8833, 0.3718, 0.3718], [0.3718, 0.8833, 0.3718], [0.6282, 0.1167, 0.6282], [0.1167, 0.6282, 0.6282], [0.2059, 0.2059, 0.7110], [0.7941, 0.2890, 0.7941], [0.2890, 0.7941, 0.7941], [0.3718, 0.3718, 0.8833], [0.0000, 0.0000, 0.0000], [0.5000, 0.5000, 0.5000], [0.4110, 0.4110, 0.4110], [0.5890, 0.5890, 0.5890], [0.1284, 0.1284, 0.1284], [0.2846, 0.2846, 0.2846], [0.7154, 0.7154, 0.7154], [0.8716, 0.8716, 0.8716]], "crystal_system": "trigonal", "e_tot_ev_per_atom": -3.560}

{"formula": "Rb2NaHgF6", "functional": "GGA-PBE", "state": "optimized geometry", "cell": [[6.0128, 0.0000, 0.0000], [-0.0019, 6.0166, 0.0000], [-0.0004, -0.0025, 8.5129]], "species": ["F", "F", "F", "F", "F", "F", "F", "F", "F", "F", "F", "F", "Hg", "Hg", "Na", "Na", "Rb", "Rb", "Rb", "Rb"], "frac_coords": [[0.2002, 0.7956, 0.0004], [0.2053, 0.3000, 0.0007], [0.4509, 0.5501, 0.2476], [0.9489, 0.0502, 0.2524], [0.1923, 0.3022, 0.4992], [0.2020, 0.8069, 0.4998], [0.6976, 0.2923, 0.5002], [0.7076, 0.7970, 0.5009], [0.9511, 0.0504, 0.7476], [0.4490, 0.5492, 0.7524], [0.6948, 0.8007, 0.9993], [0.7002, 0.3052, 0.9996], [0.9501, 0.0503, 0.0000], [0.4499, 0.5497, 0.5000], [0.4501, 0.5503, 0.0000], [0.9499, 0.0497, 0.5000], [0.9500, 0.5502, 0.2500], [0.4499, 0.0499, 0.2501], [0.4500, 0.0499, 0.7499], [0.9501, 0.5500, 0.7501]], "crystal_system": "triclinic", "e_tot_ev_per_atom": -3.560}

| no. | density (g cm⁻³) |
| --- | --- |
| 1 | 5.25 |
| 2 | 5.52 |
| 3 | 5.48 |
| 4 | 5.24 |
| 5 | 5.18 |
| 6 | 5.48 |